1.
TmTaPt2 | Alexandria | PBE | optimized geometry; magnetic moment = 0.0 μB/f.u.; formation enthalpy at 0 K = -782 meV per atom; VASP energy = -31.533 eV/cell; V = 18.6 Å³ per atom; ρ = 16.6 g cm⁻³
1.0
3.1627 0.0000 0.0000
0.0000 3.1627 0.0000
0.0000 0.0000 7.4196
Tm Pt Ta
1 2 1
Cartesian
1.5814 1.5814 3.7098
0.0000 0.0000 5.7565
0.0000 0.0000 1.6632
1.5814 1.5814 0.0000


2.
HfCd6 | Alexandria | PBE | optimized geometry; magnetic moment = 1.1 μB/f.u.; formation enthalpy at 0 K = 944 meV per atom; VASP energy = -8.840 eV/cell; V = 32.5 Å³ per atom; ρ = 6.2 g cm⁻³
1.0
-5.1705 -3.9694 1.3851
5.3620 -2.0807 3.3658
-1.4574 6.2519 1.7887
Hf Cd
1 6
Cartesian
0.0000 0.0000 0.0000
2.0002 0.5730 3.7650
1.0719 -1.9823 3.6641
0.2953 2.6562 3.3707
-3.2661 -0.3713 2.7746
-2.3378 2.1840 2.8755
-1.5612 -2.4545 3.1689


3.
Sm6Ge3Se2Cl | Alexandria | PBE | optimized geometry; formation energy without anion corrections = -1.365 eV per atom; magnetic moment = 0.0 μB/f.u.; VASP energy = -67.359 eV/cell; V = 26.7 Å³ per atom; ρ = 6.8 g cm⁻³
1.0
4.2281 0.0000 0.0000
0.0000 8.4452 0.3080
-2.1140 -2.4268 8.8770
Sm Ge Se Cl
6 3 2 1
Cartesian
0.0000 6.1960 6.1029
2.1140 4.1785 3.1019
2.1140 -0.1776 3.0821
2.1140 -0.1761 8.9118
0.0000 6.1945 0.2732
0.0000 1.8399 6.0831
2.1140 4.2226 0.1540
2.1140 -0.2222 5.9968
0.0000 6.2406 3.1881
2.1140 4.0272 6.1393
0.0000 1.9912 3.0456
2.1140 0.0000 0.0000


4.
Na2FeAu | Alexandria | PBE | optimized geometry; energy relative to the lowest polymorph listed for this composition = 17 meV per atom; magnetic moment = 3.2 μB/f.u.; formation enthalpy at 0 K = 511 meV per atom; VASP energy = -12.336 eV/cell; V = 20.6 Å³ per atom; ρ = 6.0 g cm⁻³
1.0
4.5966 -1.6213 0.3458
1.4674 -2.3440 4.0286
0.9175 -4.7967 -0.1617
Na Au Fe
2 1 1
Cartesian
1.7454 -2.1905 1.0532
5.2361 -6.5715 3.1595
3.4907 -4.3810 2.1063
0.0000 0.0000 0.0000


5.
PuTi5Bi6 | Alexandria | PBE | optimized geometry; magnetic moment = 8.7 μB/f.u.; formation enthalpy at 0 K = -23 meV per atom; VASP energy = -77.363 eV/cell; V = 25.3 Å³ per atom; ρ = 9.5 g cm⁻³
1.0
7.2526 0.1106 0.0000
2.1546 6.8379 0.0000
1.0773 3.4190 6.1399
Pu Ti Bi
1 5 6
Cartesian
0.0000 0.0000 0.0000
4.7036 3.4743 4.5560
1.0773 3.4190 2.3051
4.7036 3.4743 0.0000
2.1546 6.8379 3.8348
5.7808 6.8932 1.5839
5.8206 1.9556 2.2006
3.5865 4.9930 2.2006
2.2808 2.0388 0.0000
7.1263 4.9098 0.0000
6.8979 5.3745 3.9392
4.6638 8.4119 3.9392


6.
TbFeIr | Alexandria | PBE | optimized geometry; magnetic moment = 2.3 μB/f.u.; formation enthalpy at 0 K = -532 meV per atom; VASP energy = -47.102 eV/cell; V = 17.3 Å³ per atom; ρ = 13.0 g cm⁻³
1.0
-3.8682 1.0997 3.0613
-4.8606 0.1468 -2.0224
-3.2432 -3.8811 1.4682
Tb Fe Ir
2 2 2
Cartesian
-6.4131 -0.4261 2.4798
-5.5589 -2.2085 0.0273
0.0000 0.0000 0.0000
-1.9341 0.5499 1.5306
-4.3644 0.6233 0.5194
-3.5557 -1.3907 2.2647


7.
BaY2Cl | Alexandria | PBE | optimized geometry; formation energy without anion corrections = -0.598 eV per atom; energy relative to the lowest polymorph listed for this composition = 0 meV per atom; magnetic moment = 0.0 μB/f.u.; VASP energy = -19.091 eV/cell; V = 32.9 Å³ per atom; ρ = 4.4 g cm⁻³
1.0
3.6553 0.0000 0.0000
0.0000 5.5248 -0.0033
0.0000 2.7665 6.5209
Ba Cl Y
1 1 2
Cartesian
0.0000 4.4890 3.9522
1.8276 7.2509 4.1807
0.0000 4.4918 0.2694
1.8276 1.7301 1.3709


8.
La3Ni4Pt4 | Alexandria | PBE | optimized geometry; magnetic moment = 1.0 μB/f.u.; formation enthalpy at 0 K = -617 meV per atom; VASP energy = -68.859 eV/cell; V = 19.7 Å³ per atom; ρ = 11.0 g cm⁻³
1.0
-6.1201 -2.0315 -1.1710
0.9960 0.3180 6.4700
0.8745 5.9349 -2.6393
La Ni Pt
3 4 4
Cartesian
-2.5621 -0.8567 2.6495
-2.6228 1.9517 -1.9051
0.9352 3.1265 1.9154
0.2275 0.0726 1.4781
0.1998 1.3559 -0.6030
-1.3982 -0.4641 -0.2675
-3.2788 3.2570 2.0521
0.5937 0.1896 3.8569
-3.6484 -1.2110 -0.6981
0.5213 3.5380 -1.5733
-1.7163 1.7049 1.0742


9.
La12Ni5Sn | Alexandria | PBE | optimized geometry; magnetic moment = 0.0 μB/f.u.; formation enthalpy at 0 K = -308 meV per atom; VASP energy = -97.586 eV/cell; V = 29.0 Å³ per atom; ρ = 6.6 g cm⁻³
1.0
-3.6082 -0.6091 7.9967
0.4974 -7.9591 -3.7071
8.2553 3.0247 0.1983
La Ni Sn
12 5 1
Cartesian
4.2801 -4.7360 1.1960
0.8644 -0.8075 3.2919
2.6577 0.1246 6.4543
2.4868 -5.6682 -1.9665
0.8400 -4.6866 3.0778
4.3045 -0.8569 1.4100
7.3457 -2.5714 0.1909
-2.2012 -2.9721 4.2970
3.9692 -2.9752 4.3973
1.1753 -2.5684 0.0906
6.4287 -5.5300 -2.0154
-1.2842 -0.0135 6.5033
-1.9731 -5.4346 2.7208
-1.1377 -3.1336 1.5688
3.4158 0.5920 3.6596
1.7287 -6.1356 0.8282
0.0000 0.0000 0.0000
4.3763 -2.4672 -1.7544


10.
Pu6HgRh2 | Alexandria | PBE | optimized geometry; magnetic moment = 35.6 μB/f.u.; formation enthalpy at 0 K = 11 meV per atom; VASP energy = -100.898 eV/cell; V = 26.5 Å³ per atom; ρ = 13.0 g cm⁻³
1.0
-5.2479 -1.1385 0.8082
-0.3359 -2.0216 -5.0289
2.0204 -7.3197 2.8074
Pu Hg Rh
6 1 2
Cartesian
0.2778 -2.6258 -1.8950
-2.1782 -2.1843 1.0235
1.4067 -6.7155 -0.3264
-1.0493 -6.2739 2.5921
-1.7817 -5.2399 -0.7066
1.0102 -3.6598 1.4037
0.0000 0.0000 0.0000
-2.4627 -2.7727 -1.6529
-1.1007 -7.7071 0.2397


11.
Pu2Hg4Pd | Alexandria | PBE | optimized geometry; magnetic moment = 12.2 μB/f.u.; formation enthalpy at 0 K = 175 meV per atom; VASP energy = -33.839 eV/cell; V = 28.2 Å³ per atom; ρ = 11.7 g cm⁻³
1.0
5.1795 0.0000 0.0000
0.0000 6.2772 0.0000
0.0000 -3.1386 6.0820
Pu Hg Pd
2 4 1
Cartesian
2.5898 0.0000 4.5899
2.5898 3.1386 1.4921
2.5898 0.0000 1.3948
0.0000 3.1386 3.2549
2.5898 3.1386 4.6872
0.0000 0.0000 2.8271
0.0000 3.1386 0.0000


12.
Sr5SiN4Cl2 | Alexandria | PBE | optimized geometry; formation energy without anion corrections = -1.111 eV per atom; magnetic moment = 0.0 μB/f.u.; VASP energy = -64.156 eV/cell; V = 20.3 Å³ per atom; ρ = 4.1 g cm⁻³
1.0
-5.0131 -2.8002 2.3822
5.2051 -2.1368 0.3302
1.1856 4.0004 7.1972
Sr Si N Cl
5 1 4 2
Cartesian
1.7611 -0.3056 1.7046
-1.9903 0.5574 4.8261
2.4967 2.1765 6.1702
0.6313 -0.0640 7.7228
-0.1043 -2.5461 3.2572
-2.0214 -1.1291 0.9606
-2.6540 -0.8608 2.7063
-1.9099 1.6497 7.2231
-0.3118 -1.6983 0.9953
3.2625 -1.6977 0.4062
-0.9816 -2.0059 6.0847
0.8780 0.2421 4.5288


13.
RbFe2Te | Alexandria | PBE | optimized geometry; formation energy without anion corrections = 0.523 eV per atom; magnetic moment = 5.0 μB/f.u.; VASP energy = -37.883 eV/cell; V = 28.7 Å³ per atom; ρ = 4.7 g cm⁻³
1.0
5.0632 0.0000 0.0000
0.0000 5.0632 0.0000
2.5316 2.5316 8.9560
Te Fe Rb
2 4 2
Cartesian
0.0000 0.0000 0.0000
5.0632 2.5316 4.4780
5.0636 1.2658 2.2390
5.0627 3.7974 2.2390
3.7974 2.5312 6.7170
6.3290 2.5320 6.7170
2.5316 2.5316 0.0000
2.5316 5.0632 4.4780


14.
PmGa3CuPt | Alexandria | PBE | optimized geometry; magnetic moment = 0.0 μB/f.u.; formation enthalpy at 0 K = -413 meV per atom; VASP energy = -52.895 eV/cell; V = 19.0 Å³ per atom; ρ = 8.9 g cm⁻³
1.0
6.0999 0.0000 0.0000
0.0000 6.2252 0.0000
0.0000 -3.1126 6.0167
Pm Ga Cu Pt
2 6 2 2
Cartesian
4.5749 0.0000 3.3606
1.5250 3.1126 2.6560
1.5250 0.0000 1.8654
0.0000 1.8021 0.0000
3.0500 4.4231 0.0000
3.0500 1.8021 0.0000
0.0000 4.4231 0.0000
4.5749 3.1126 4.1513
1.5250 3.1126 5.4443
4.5749 0.0000 0.5724
1.5250 0.0000 4.3351
4.5749 3.1126 1.6815


15.
PrGdTlBi | Alexandria | PBE | optimized geometry; magnetic moment = 7.5 μB/f.u.; formation enthalpy at 0 K = -476 meV per atom; VASP energy = -27.010 eV/cell; V = 30.3 Å³ per atom; ρ = 9.7 g cm⁻³
1.0
-3.7795 -2.4196 3.2739
-0.5611 -5.5265 -0.0195
1.6320 -2.9730 4.3995
Pr Tl Gd Bi
1 1 1 1
Cartesian
-2.0315 -8.1893 5.7404
0.0000 0.0000 0.0000
-0.6772 -2.7298 1.9135
-1.3543 -5.4595 3.8269


16.
Hg2BiP2 | Alexandria | PBE | optimized geometry; energy relative to the lowest polymorph listed for this composition = 0 meV per atom; magnetic moment = 0.0 μB/f.u.; formation enthalpy at 0 K = 305 meV per atom; VASP energy = -13.779 eV/cell; V = 26.7 Å³ per atom; ρ = 8.4 g cm⁻³
1.0
4.0933 0.0000 0.0000
0.0000 4.0933 0.0000
2.0466 2.0466 7.9687
P Bi Hg
2 1 2
Cartesian
2.0466 2.0466 1.0715
4.0933 4.0933 6.8972
0.0000 0.0000 0.0000
4.0933 2.0466 3.9844
2.0466 4.0933 3.9844


17.
Ba3In2Hg2Sb4 | Alexandria | PBE | optimized geometry; formation energy without anion corrections = -0.474 eV per atom; magnetic moment = 0.0 μB/f.u.; VASP energy = -33.557 eV/cell; V = 36.1 Å³ per atom; ρ = 6.4 g cm⁻³
1.0
5.4879 0.0000 0.0000
0.0000 5.4879 0.0000
-2.7439 -2.7439 13.1860
Ba In Hg Sb
3 2 2 4
Cartesian
0.0000 0.0000 0.0000
0.0000 0.0000 4.8108
2.7439 2.7439 8.3752
0.0000 0.0000 11.7682
2.7439 2.7439 1.4178
0.0000 0.0000 8.3920
2.7439 2.7439 4.7940
0.0000 2.7439 10.5652
2.7439 0.0000 10.5652
0.0000 2.7439 2.6208
2.7439 0.0000 2.6208


18.
Tm6Co2Rh | Alexandria | PBE | optimized geometry; energy relative to the lowest polymorph listed for this composition = 83 meV per atom; magnetic moment = 0.0 μB/f.u.; formation enthalpy at 0 K = -297 meV per atom; VASP energy = -102.122 eV/cell; V = 23.7 Å³ per atom; ρ = 9.6 g cm⁻³
1.0
6.4184 0.0000 0.4267
0.0000 7.0400 0.0000
-0.1555 0.0000 9.4320
Tm Co Rh
12 4 2
Cartesian
5.3102 6.6988 2.6295
5.1755 4.6828 5.7142
5.3129 4.7186 9.0260
4.0814 1.1986 5.7621
4.2188 1.1628 9.0739
4.2396 3.1788 2.7266
0.9526 0.3412 7.2293
1.0874 2.3572 4.1446
0.9500 2.3214 0.8327
2.1814 5.8413 4.0966
2.0440 5.8772 0.7848
2.0233 3.8612 7.1321
6.0787 2.6089 7.1678
3.3156 6.1289 7.6203
2.9472 0.9111 2.2384
0.1842 4.4311 2.6909
3.2092 3.5200 0.2134
-0.0778 0.0000 4.7160


19.
La2PaNi4Ge3 | Alexandria | PBE | optimized geometry; magnetic moment = 0.0 μB/f.u.; formation enthalpy at 0 K = -613 meV per atom; VASP energy = -62.458 eV/cell; V = 18.6 Å³ per atom; ρ = 8.6 g cm⁻³
1.0
4.3040 0.0000 0.0000
0.0000 4.3040 0.0000
0.0000 0.0000 10.0656
La Pa Ni Ge
2 1 4 3
Cartesian
2.1520 0.0000 2.2772
0.0000 2.1520 7.7885
2.1520 2.1520 5.0328
2.1520 2.1520 0.0000
0.0000 0.0000 0.0000
2.1520 0.0000 6.4895
0.0000 2.1520 3.5761
0.0000 0.0000 5.0328
2.1520 0.0000 8.8788
0.0000 2.1520 1.1869


20.
CaZnAs2 | Alexandria | PBE | optimized geometry; magnetic moment = 0.0 μB/f.u.; formation enthalpy at 0 K = -317 meV per atom; VASP energy = -13.842 eV/cell; V = 20.5 Å³ per atom; ρ = 5.2 g cm⁻³
1.0
5.6569 -0.0402 0.0000
2.7073 4.9671 0.0000
-4.1821 -2.4635 2.9057
As Ca Zn
2 1 1
Cartesian
0.0000 0.0000 0.0000
1.3537 2.4836 1.4529
4.1821 2.4635 0.0000
2.8284 -0.0201 1.4529


21.
Ba3Sb | Alexandria | PBE | optimized geometry; formation energy without anion corrections = -0.286 eV per atom; energy relative to the lowest polymorph listed for this composition = 319 meV per atom; magnetic moment = 0.0 μB/f.u.; VASP energy = -11.033 eV/cell; V = 44.2 Å³ per atom; ρ = 5.0 g cm⁻³
1.0
7.0668 0.0010 0.0028
-3.1073 6.3470 0.0028
-3.1073 -4.9817 3.9329
Ba Sb
3 1
Cartesian
0.0000 0.0000 0.0000
1.9798 3.1740 0.0028
-3.1073 0.6827 1.9678
1.9798 -2.4903 1.9678


22.
NdSm2Sc | Alexandria | PBE | optimized geometry; energy relative to the lowest polymorph listed for this composition = 13 meV per atom; magnetic moment = 0.0 μB/f.u.; formation enthalpy at 0 K = 52 meV per atom; VASP energy = -20.331 eV/cell; V = 31.6 Å³ per atom; ρ = 6.4 g cm⁻³
1.0
3.5625 0.0000 0.0000
1.7813 3.0852 0.0000
1.7813 1.0284 11.5062
Sc Nd Sm
1 1 2
Cartesian
3.5625 2.0568 5.7531
0.0000 0.0000 0.0000
5.3438 3.0852 8.4748
1.7813 1.0284 3.0315


23.
LaTcAg2 | Alexandria | PBE | optimized geometry; energy relative to the lowest polymorph listed for this composition = 155 meV per atom; magnetic moment = 2.0 μB/f.u.; formation enthalpy at 0 K = 367 meV per atom; VASP energy = -19.526 eV/cell; V = 20.9 Å³ per atom; ρ = 9.0 g cm⁻³
1.0
-1.2001 2.9600 -0.2746
-0.2764 -0.5274 -4.4773
-5.3354 -2.1095 0.5778
Ag La Tc
2 1 1
Cartesian
-5.2329 -2.0690 0.5667
-2.7701 -1.0953 0.3000
-2.0721 0.6889 -2.2315
-4.7398 -0.3658 -1.9426


24.
CrReB3 | Alexandria | PBE | optimized geometry; energy relative to the lowest polymorph listed for this composition = 0 meV per atom; magnetic moment = 0.5 μB/f.u.; formation enthalpy at 0 K = -117 meV per atom; VASP energy = -85.381 eV/cell; V = 8.7 Å³ per atom; ρ = 10.4 g cm⁻³
1.0
2.9503 0.0000 0.0000
0.0000 3.2345 0.0000
0.0000 -1.6172 9.0886
Cr Re B
2 2 6
Cartesian
0.7376 1.6172 5.4330
2.2127 0.0000 3.6555
0.7376 0.0000 1.3851
2.2127 1.6172 7.7035
0.7376 0.0000 6.8293
2.2127 1.6172 2.2593
0.7376 0.0000 8.6379
2.2127 1.6172 0.4507
2.2127 0.0000 5.8240
0.7376 1.6172 3.2646